No. 1
Here is a relaxed K4Ac3RhO8 crystal from the Alexandria database. Energies are from PBE.

Output
The calculation puts the magnetic moment at 0.0 μB/cell. The uncorrected formation energy is -2.05 eV/atom.

```
data_K4Ac3RhO8
_symmetry_space_group_name_H-M 'R -3 m'
_symmetry_Int_Tables_number 166
_symmetry_space_group_name_Hall '-R 3 2"'
_cell_length_a 7.3675
_cell_length_b 7.3675
_cell_length_c 18.9809
_cell_angle_alpha 90.00
_cell_angle_beta 90.00
_cell_angle_gamma 120.00
loop_
_atom_site_label
_atom_site_type_symbol
_atom_site_fract_x
_atom_site_fract_y
_atom_site_fract_z
K1 K 0.0000 0.0000 0.0000
K2 K 0.0000 0.5000 0.0000
Ac1 Ac 0.0000 0.5000 0.5000
Rh1 Rh 0.0000 0.0000 0.5000
O1 O 0.0000 0.0000 0.2341
O2 O 0.0282 0.5141 0.2306
```

=====

No. 2
Here is a relaxed LiEuHoRh crystal from the Alexandria database. Energies are from PBE.

Output
The calculation puts the magnetic moment at 28.3 μB/cell. The calculation puts the density of states at the Fermi level at 0.588 states/eV/atom. The calculation puts the formation enthalpy at 0 K at -1.36 eV/f.u.

```
data_LiEuHoRh
_symmetry_space_group_name_H-M 'F -4 3 m'
_symmetry_Int_Tables_number 216
_symmetry_space_group_name_Hall 'F -4 2 3'
_cell_length_a 7.073
_cell_length_b 7.073
_cell_length_c 7.073
_cell_angle_alpha 90.00
_cell_angle_beta 90.00
_cell_angle_gamma 90.00
loop_
_atom_site_label
_atom_site_type_symbol
_atom_site_fract_x
_atom_site_fract_y
_atom_site_fract_z
Li1 Li 0.000 0.000 0.000
Eu1 Eu 0.250 0.250 0.250
Ho1 Ho 0.250 0.250 0.750
Rh1 Rh 0.000 0.000 0.500
```

=====

No. 3
Here is a relaxed Y2MnSi crystal from the Alexandria database. Energies are from PBE.

Output
The calculation puts the magnetic moment at 0.0 μB/cell. The calculation puts the density of states at the Fermi level at 1.775 states/eV/atom. The uncorrected formation energy is 0.46 eV/atom.

```
data_Y2MnSi
_symmetry_space_group_name_H-M 'I -4 2 d'
_symmetry_Int_Tables_number 122
_symmetry_space_group_name_Hall 'I -4 2bw'
_cell_length_a 7.609
_cell_length_b 7.609
_cell_length_c 5.880
_cell_angle_alpha 90.00
_cell_angle_beta 90.00
_cell_angle_gamma 90.00
loop_
_atom_site_label
_atom_site_type_symbol
_atom_site_fract_x
_atom_site_fract_y
_atom_site_fract_z
Y1 Y 0.214 0.250 0.125
Mn1 Mn 0.000 0.000 0.000
Si1 Si 0.000 0.000 0.500
```

=====

no.,DFT total energy (eV/cell)
1,-289.45
2,-101.93
3,-102.73